Entry 1:
# Ca2Mg3Pd4

Ca2Mg3Pd4 after structural relaxation (PBE-GGA, Alexandria via LeMat-Bulk).

Output
- space-group type = Cmce (64)
- crystal system = orthorhombic
- energy of formation from the pure elements (kcal/mol of atoms) = -14.80
- total magnetic moment (μB/f.u.) = 0.000

a = 5.9537 Å, b = 7.4356 Å, c = 8.7112 Å
α = 90.00°, β = 109.98°, γ = 90.00°
With the nearest neighbours (Å) after each atom.
Atoms (fractional coordinates):
Ca (0.8981, 0.4117, 0.7963)  5 Pd 2.98-3.20
Ca (0.1019, 0.5883, 0.2037)  5 Pd 2.98-3.20
Pd (0.1823, 0.7500, 0.8647)  3 Mg 2.63-2.68
Ca (0.3981, 0.0883, 0.7963)  5 Pd 2.98-3.20
Pd (0.6683, 0.5245, 0.3366)  5 Mg 2.73-2.78, 2 Pd 3.02
Pd (0.8317, 0.0245, 0.6634)  5 Mg 2.73-2.78, 2 Pd 3.02
Mg (0.9811, 0.2500, 0.4621)  5 Pd 2.68-2.78, 2 Mg 2.98
Mg (0.0189, 0.7500, 0.5379)  5 Pd 2.68-2.78, 2 Mg 2.98
Mg (0.5189, 0.7500, 0.5379)  5 Pd 2.68-2.78, 2 Mg 2.98
Pd (0.3317, 0.4755, 0.6634)  5 Mg 2.73-2.78, 2 Pd 3.02
Pd (0.6823, 0.7500, 0.8647)  3 Mg 2.63-2.68
Ca (0.6019, 0.9117, 0.2037)  5 Pd 2.98-3.20
Pd (0.8177, 0.2500, 0.1353)  3 Mg 2.63-2.68
Mg (0.5000, 0.5000, 0.0000)  6 Pd 2.63-2.76
Mg (0.0000, 0.0000, 0.0000)  6 Pd 2.63-2.76
Mg (0.4811, 0.2500, 0.4621)  5 Pd 2.68-2.78, 2 Mg 2.98
Pd (0.3177, 0.2500, 0.1353)  3 Mg 2.63-2.68
Pd (0.1683, 0.9755, 0.3366)  5 Mg 2.73-2.78, 2 Pd 3.02

Entry 2:
# Ca3MgPd2

Ca3MgPd2 after structural relaxation (PBE-GGA, Alexandria via LeMat-Bulk).

Output
- space-group type = Immm (71)
- crystal system = orthorhombic
- energy of formation from the pure elements (kcal/mol of atoms) = -11.71
- total magnetic moment (μB/f.u.) = 0.000

a = 4.4458 Å, b = 4.4088 Å, c = 8.3919 Å
α = 105.23°, β = 105.36°, γ = 90.00°
With the nearest neighbours (Å) after each atom.
Atoms (fractional coordinates):
Ca (0.5000, 0.5000, 0.0000)  4 Pd 2.92-2.93, 4 Mg 3.13
Ca (0.1812, 0.6812, 0.3625)  5 Pd 3.04-3.26
Ca (0.8188, 0.3188, 0.6375)  5 Pd 3.04-3.26
Pd (0.3766, 0.8768, 0.7530)  7 Ca 2.92-3.26, 2 Mg 2.94
Mg (0.0000, 0.0000, 0.0000)  4 Pd 2.94, 4 Ca 3.13
Pd (0.6234, 0.1232, 0.2470)  7 Ca 2.92-3.26, 2 Mg 2.94

Entry 3:
# Ca2Mg2Pd15

Ca2Mg2Pd15 after structural relaxation (PBE-GGA, Alexandria via LeMat-Bulk).

Output
- space-group type = R-3m (166)
- crystal system = trigonal
- energy of formation from the pure elements (kcal/mol of atoms) = -8.74
- total magnetic moment (μB/f.u.) = 0.000

a = 7.0125 Å, b = 7.0125 Å, c = 7.0125 Å
α = 81.54°, β = 81.54°, γ = 81.54°
With the nearest neighbours (Å) after each atom.
Atoms (fractional coordinates):
Pd (0.8446, 0.3462, 0.3462)  8 Pd 2.65-2.85, 1 Mg 2.85
Ca (0.3517, 0.3517, 0.3517)  15 Pd 3.21-3.57, 1 Mg 3.44
Pd (0.6971, 0.0000, 0.3029)  8 Pd 2.70-2.85
Pd (0.3462, 0.8446, 0.3462)  8 Pd 2.65-2.85, 1 Mg 2.85
Mg (0.1029, 0.1029, 0.1029)  12 Pd 2.79-3.12, 1 Mg 2.84
Pd (0.3029, 0.6971, 0.0000)  8 Pd 2.70-2.85
Mg (0.8971, 0.8971, 0.8971)  12 Pd 2.79-3.12, 1 Mg 2.84
Pd (0.6971, 0.3029, 0.0000)  8 Pd 2.70-2.85
Pd (0.0000, 0.5000, 0.0000)  8 Pd 2.65-2.70, 2 Mg 2.79
Pd (0.0000, 0.0000, 0.5000)  8 Pd 2.65-2.70, 2 Mg 2.79
Pd (0.6538, 0.6538, 0.1553)  8 Pd 2.65-2.85, 1 Mg 2.85
Pd (0.1553, 0.6538, 0.6538)  8 Pd 2.65-2.85, 1 Mg 2.85
Pd (0.3029, 0.0000, 0.6971)  8 Pd 2.70-2.85
Pd (0.6538, 0.1553, 0.6538)  8 Pd 2.65-2.85, 1 Mg 2.85
Ca (0.6483, 0.6483, 0.6483)  15 Pd 3.21-3.57, 1 Mg 3.44
Pd (0.5000, 0.0000, 0.0000)  8 Pd 2.65-2.70, 2 Mg 2.79
Pd (0.0000, 0.6971, 0.3029)  8 Pd 2.70-2.85
Pd (0.0000, 0.3029, 0.6971)  8 Pd 2.70-2.85
Pd (0.3462, 0.3462, 0.8446)  8 Pd 2.65-2.85, 1 Mg 2.85

Entry 4:
# CaMgPd2

CaMgPd2 after structural relaxation (PBE-GGA, Alexandria via LeMat-Bulk).

Output
- space-group type = I-42d (122)
- crystal system = tetragonal
- energy of formation from the pure elements (kcal/mol of atoms) = -5.10
- total magnetic moment (μB/f.u.) = 0.000

a = 4.6401 Å, b = 4.6401 Å, c = 9.3302 Å
α = 75.60°, β = 75.60°, γ = 90.00°
With the nearest neighbours (Å) after each atom.
Atoms (fractional coordinates):
Mg (0.5000, 0.5000, 0.0000)  4 Pd 2.57
Pd (0.3750, 0.4741, 0.7500)  2 Mg 2.57, 2 Pd 2.71
Ca (0.7500, 0.2500, 0.5000)  4 Pd 2.96, 4 Mg 3.28
Pd (0.8750, 0.7759, 0.7500)  2 Mg 2.57, 2 Pd 2.71
Ca (0.0000, 0.0000, 0.0000)  4 Pd 2.96, 4 Mg 3.28
Pd (0.5259, 0.1250, 0.2500)  2 Mg 2.57, 2 Pd 2.71
Mg (0.2500, 0.7500, 0.5000)  4 Pd 2.57
Pd (0.2241, 0.6250, 0.2500)  2 Mg 2.57, 2 Pd 2.71

Entry 5:
# CaMg2Pd

CaMg2Pd after structural relaxation (PBE-GGA, Alexandria via LeMat-Bulk).

Output
- space-group type = R-3m (166)
- crystal system = trigonal
- energy of formation from the pure elements (kcal/mol of atoms) = -7.25
- total magnetic moment (μB/f.u.) = 0.000

a = 4.5743 Å, b = 4.5743 Å, c = 5.9695 Å
α = 67.47°, β = 67.47°, γ = 60.00°
With the nearest neighbours (Å) after each atom.
Atoms (fractional coordinates):
Mg (0.7908, 0.7908, 0.6275)  3 Pd 2.73, 3 Mg 2.97
Pd (0.5000, 0.5000, 0.5000)  6 Mg 2.73
Mg (0.2092, 0.2092, 0.3725)  3 Pd 2.73, 3 Mg 2.97
Ca (0.0000, 0.0000, 0.0000)  8 Mg 3.31-3.36

Entry 6:
# CaMg8Pd4

CaMg8Pd4 after structural relaxation (PBE-GGA, Alexandria via LeMat-Bulk).

Output
- space-group type = I4/mmm (139)
- crystal system = tetragonal
- energy of formation from the pure elements (kcal/mol of atoms) = -11.64
- total magnetic moment (μB/f.u.) = 0.000

a = 5.7155 Å, b = 7.2571 Å, c = 7.2571 Å
α = 81.08°, β = 66.81°, γ = 66.81°
With the nearest neighbours (Å) after each atom.
Atoms (fractional coordinates):
Pd (0.5000, 0.5000, 0.0000)  8 Mg 2.77-2.87, 2 Pd 2.86
Pd (0.0000, 0.5000, 0.0000)  8 Mg 2.77-2.87, 2 Pd 2.86
Mg (0.5000, 0.2225, 0.7775)  4 Pd 2.77, 6 Mg 2.97-3.05
Mg (0.7225, 0.7775, 0.7775)  4 Pd 2.77, 6 Mg 2.97-3.05
Mg (0.5000, 0.7775, 0.2225)  4 Pd 2.77, 6 Mg 2.97-3.05
Ca (0.0000, 0.0000, 0.0000)  4 Mg 3.16
Mg (0.2775, 0.2225, 0.2225)  4 Pd 2.77, 6 Mg 2.97-3.05
Mg (0.0000, 0.6647, 0.3353)  4 Pd 2.87, 5 Mg 3.04-3.11, 1 Ca 3.16
Pd (0.5000, 0.0000, 0.5000)  8 Mg 2.77-2.87, 2 Pd 2.86
Pd (0.0000, 0.0000, 0.5000)  8 Mg 2.77-2.87, 2 Pd 2.86
Mg (0.6647, 0.3353, 0.3353)  4 Pd 2.87, 5 Mg 3.04-3.11, 1 Ca 3.16
Mg (0.0000, 0.3353, 0.6647)  4 Pd 2.87, 5 Mg 3.04-3.11, 1 Ca 3.16
Mg (0.3353, 0.6647, 0.6647)  4 Pd 2.87, 5 Mg 3.04-3.11, 1 Ca 3.16

Entry 7:
# CaMg2Pd

CaMg2Pd after structural relaxation (PBE-GGA, Alexandria via LeMat-Bulk).

Output
- space-group type = I-42d (122)
- crystal system = tetragonal
- energy of formation from the pure elements (kcal/mol of atoms) = -2.94
- total magnetic moment (μB/f.u.) = 0.000

a = 4.2166 Å, b = 4.2166 Å, c = 11.1551 Å
α = 79.11°, β = 79.11°, γ = 90.00°
With the nearest neighbours (Å) after each atom.
Atoms (fractional coordinates):
Ca (0.5000, 0.5000, 0.0000)  4 Pd 2.98, 4 Mg 3.12
Pd (0.7500, 0.2500, 0.5000)  4 Ca 2.98, 4 Mg 3.03
Mg (0.6536, 0.1250, 0.2500)  2 Mg 2.82, 2 Pd 3.03, 2 Ca 3.12
Mg (0.0964, 0.6250, 0.2500)  2 Mg 2.82, 2 Pd 3.03, 2 Ca 3.12
Pd (0.0000, 0.0000, 0.0000)  4 Ca 2.98, 4 Mg 3.03
Mg (0.3750, 0.3464, 0.7500)  2 Mg 2.82, 2 Pd 3.03, 2 Ca 3.12
Mg (0.8750, 0.9036, 0.7500)  2 Mg 2.82, 2 Pd 3.03, 2 Ca 3.12
Ca (0.2500, 0.7500, 0.5000)  4 Pd 2.98, 4 Mg 3.12

Entry 8:
# Ca2MgPd

Ca2MgPd after structural relaxation (PBE-GGA, Alexandria via LeMat-Bulk).

Output
- space-group type = I-42d (122)
- crystal system = tetragonal
- energy of formation from the pure elements (kcal/mol of atoms) = -5.14
- total magnetic moment (μB/f.u.) = 0.001

a = 10.2053 Å, b = 10.2053 Å, c = 7.6698 Å
α = 48.30°, β = 48.30°, γ = 90.00°
With the nearest neighbours (Å) after each atom.
Atoms (fractional coordinates):
Ca (0.3750, 0.2289, 0.7500)  2 Pd 2.84
Mg (0.5000, 0.5000, 0.0000)  2 Pd 2.60
Ca (0.9789, 0.6250, 0.2500)  2 Pd 2.84
Ca (0.7711, 0.1250, 0.2500)  2 Pd 2.84
Pd (0.7500, 0.2500, 0.5000)  2 Mg 2.60, 4 Ca 2.84
Mg (0.2500, 0.7500, 0.5000)  2 Pd 2.60
Ca (0.8750, 0.0211, 0.7500)  2 Pd 2.84
Pd (0.0000, 0.0000, 0.0000)  2 Mg 2.60, 4 Ca 2.84

Entry 9:
# CaMgPd3

CaMgPd3 after structural relaxation (PBE-GGA, Alexandria via LeMat-Bulk).

Output
- space-group type = Pm-3m (221)
- crystal system = cubic
- energy of formation from the pure elements (kcal/mol of atoms) = -4.45
- total magnetic moment (μB/f.u.) = 0.000

a = 4.7268 Å, b = 4.7268 Å, c = 4.7268 Å
α = 90.00°, β = 90.00°, γ = 90.00°
With the nearest neighbours (Å) after each atom.
Atoms (fractional coordinates):
Pd (0.0000, 0.0000, 0.5000)  2 Mg 2.36
Ca (0.5000, 0.5000, 0.5000)  12 Pd 3.34
Pd (0.0000, 0.5000, 0.0000)  2 Mg 2.36
Pd (0.5000, 0.0000, 0.0000)  2 Mg 2.36
Mg (0.0000, 0.0000, 0.0000)  6 Pd 2.36

Entry 10:
# Ca2Mg5Pd4

Ca2Mg5Pd4 after structural relaxation (PBE-GGA, Alexandria via LeMat-Bulk).

Output
- space-group type = Immm (71)
- crystal system = orthorhombic
- energy of formation from the pure elements (kcal/mol of atoms) = -11.52
- total magnetic moment (μB/f.u.) = 0.000

a = 5.8019 Å, b = 6.9369 Å, c = 6.9411 Å
α = 80.76°, β = 65.30°, γ = 65.28°
With the nearest neighbours (Å) after each atom.
Atoms (fractional coordinates):
Mg (0.2522, 0.1907, 0.8093)  4 Pd 2.74-2.81, 2 Mg 2.88-2.93
Pd (0.2360, 0.0874, 0.4405)  5 Mg 2.62-2.81
Ca (0.2853, 0.7146, 0.7147)  2 Pd 2.94
Mg (0.2522, 0.8093, 0.1907)  4 Pd 2.74-2.81, 2 Mg 2.88-2.93
Mg (0.7478, 0.1907, 0.8093)  4 Pd 2.74-2.81, 2 Mg 2.88-2.93
Mg (0.0000, 0.5000, 0.5000)  4 Pd 2.62
Mg (0.7478, 0.8093, 0.1907)  4 Pd 2.74-2.81, 2 Mg 2.88-2.93
Pd (0.2361, 0.4402, 0.0876)  5 Mg 2.62-2.81
Pd (0.7639, 0.5598, 0.9124)  5 Mg 2.62-2.81
Ca (0.7147, 0.2854, 0.2853)  2 Pd 2.94
Pd (0.7640, 0.9126, 0.5595)  5 Mg 2.62-2.81

Entry 11:
# CaMg3Pd4

CaMg3Pd4 after structural relaxation (PBE-GGA, Alexandria via LeMat-Bulk).

Output
- space-group type = P4/mmm (123)
- crystal system = tetragonal
- energy of formation from the pure elements (kcal/mol of atoms) = -15.76
- total magnetic moment (μB/f.u.) = 0.000

a = 4.6045 Å, b = 6.6139 Å, c = 9.2142 Å
α = 90.00°, β = 90.00°, γ = 90.00°
With the nearest neighbours (Å) after each atom.
Atoms (fractional coordinates):
Mg (0.4999, 0.5000, 0.7500)  8 Pd 2.91, 4 Ca 3.26
Mg (0.0000, 0.0000, 0.0000)  8 Pd 2.76
Mg (0.4995, 0.0000, 0.7500)  8 Pd 2.76
Pd (0.5000, 0.7690, 0.5000)  6 Mg 2.76-2.91, 2 Ca 2.91, 1 Pd 3.06
Pd (0.5000, 0.2310, 0.5000)  6 Mg 2.76-2.91, 2 Ca 2.91, 1 Pd 3.06
Pd (0.9995, 0.7690, 0.7500)  6 Mg 2.76-2.91, 2 Ca 2.91, 1 Pd 3.06
Pd (0.0005, 0.2310, 0.2500)  6 Mg 2.76-2.91, 2 Ca 2.91, 1 Pd 3.06
Pd (0.5000, 0.2310, 0.0000)  6 Mg 2.76-2.91, 2 Ca 2.91, 1 Pd 3.06
Mg (0.0000, 0.0000, 0.5000)  8 Pd 2.76
Ca (0.0000, 0.5000, 0.5000)  8 Pd 2.91, 4 Mg 3.26
Mg (0.5001, 0.5000, 0.2500)  8 Pd 2.91, 4 Ca 3.26
Mg (0.5005, 0.0000, 0.2500)  8 Pd 2.76
Pd (0.0005, 0.7690, 0.2500)  6 Mg 2.76-2.91, 2 Ca 2.91, 1 Pd 3.06
Pd (0.9995, 0.2310, 0.7500)  6 Mg 2.76-2.91, 2 Ca 2.91, 1 Pd 3.06
Pd (0.5000, 0.7690, 0.0000)  6 Mg 2.76-2.91, 2 Ca 2.91, 1 Pd 3.06
Ca (0.0000, 0.5000, 0.0000)  8 Pd 2.91, 4 Mg 3.26

Entry 12:
# Ca2MgPd

Ca2MgPd after structural relaxation (PBE-GGA, Alexandria via LeMat-Bulk).

Output
- space-group type = R-3m (166)
- crystal system = trigonal
- energy of formation from the pure elements (kcal/mol of atoms) = -2.35
- total magnetic moment (μB/f.u.) = 0.000

a = 3.8389 Å, b = 3.8389 Å, c = 10.6479 Å
α = 79.61°, β = 79.61°, γ = 60.00°
With the nearest neighbours (Å) after each atom.
Atoms (fractional coordinates):
Mg (0.0000, 0.0000, 0.0000)  2 Ca 3.42
Ca (0.8905, 0.8905, 0.3284)  3 Pd 2.85
Pd (0.5000, 0.5000, 0.5000)  6 Ca 2.85
Ca (0.1095, 0.1095, 0.6716)  3 Pd 2.85